No. 1
First-principles (PBE) data for a relaxed Cs4Tl4In crystal, as listed in Alexandria via LeMat-Bulk.

Computed properties:
Crystal system: tetragonal
Symmetry: I-42m (121)
Energy relative to the elements: 0.05 eV per atom

Cell: 10.0696 10.0696 10.0696 Å, 133.78 133.78 67.43°
Last column: nearest neighbours and their distance in Å.
Sites, in units of the cell vectors:
1 Cs 0.1888 0.1888 0.6262  5 Tl 3.92-4.36, 1 In 4.07, 1 Cs 4.18
2 Cs 0.4374 0.8112 0.0000  5 Tl 3.92-4.36, 1 In 4.07, 1 Cs 4.18
3 Cs 0.5626 0.5626 0.3738  5 Tl 3.92-4.36, 1 In 4.07, 1 Cs 4.18
4 Cs 0.8112 0.4374 0.0000  5 Tl 3.92-4.36, 1 In 4.07, 1 Cs 4.18
5 Tl 0.0158 0.6991 0.0000  1 In 2.97
6 Tl 0.3009 0.3009 0.3167  1 In 2.97
7 Tl 0.6991 0.0158 0.0000  1 In 2.97
8 Tl 0.9842 0.9842 0.6833  1 In 2.97
9 In 0.0000 0.0000 0.0000  4 Tl 2.97



No. 2
First-principles (PBE) data for a relaxed Na4PtO4 crystal, as listed in Alexandria via LeMat-Bulk.

Computed properties:
Crystal system: monoclinic
Symmetry: C2/m (12)

Cell: 5.8631 5.8631 10.0635 Å, 90.73 90.73 45.30°
Last column: nearest neighbours and their distance in Å.
Sites, in units of the cell vectors:
1 Na 0.0932 0.0932 0.3170  4 O 2.19-2.30
2 Na 0.1509 0.1509 0.0443  5 O 2.29-2.54
3 Na 0.2453 0.2453 0.7747  5 O 2.28-2.41
4 Na 0.3818 0.3818 0.4457  3 O 2.21-2.29
5 Na 0.6182 0.6182 0.5543  3 O 2.21-2.29
6 Na 0.7547 0.7547 0.2253  5 O 2.28-2.41
7 Na 0.8491 0.8491 0.9557  5 O 2.29-2.54
8 Na 0.9068 0.9068 0.6830  4 O 2.19-2.30
9 Pt 0.4609 0.4609 0.1523  6 O 2.05-2.26
10 Pt 0.5391 0.5391 0.8477  6 O 2.05-2.26
11 O 0.0455 0.0455 0.8432  4 Na 2.19-2.42, 2 Pt 2.26
12 O 0.2944 0.2944 0.2464  1 Pt 2.05, 1 Na 2.21
13 O 0.3817 0.3817 0.9641  2 Pt 2.07-2.08, 2 Na 2.29
14 O 0.4414 0.4414 0.6644  1 Pt 2.11, 4 Na 2.22-2.30
15 O 0.5586 0.5586 0.3356  1 Pt 2.11, 4 Na 2.22-2.30
16 O 0.6183 0.6183 0.0359  2 Pt 2.07-2.08, 2 Na 2.29
17 O 0.7056 0.7056 0.7536  1 Pt 2.05, 1 Na 2.21
18 O 0.9545 0.9545 0.1568  4 Na 2.19-2.42, 2 Pt 2.26



No. 3
First-principles (PBE) data for a relaxed Pm7Pr2Ho3 crystal, as listed in Alexandria via LeMat-Bulk.

Computed properties:
Crystal system: orthorhombic
Symmetry: Cmmm (65)
Energy relative to the elements: 0.11 eV per atom

Cell: 19.4695 19.4695 3.6615 Å, 90.00 90.00 162.82°
Last column: nearest neighbours and their distance in Å.
Sites, in units of the cell vectors:
1 Pm 0.0000 0.0000 0.0000  6 Pm 3.30-3.66, 4 Ho 3.44
2 Pm 0.0713 0.9287 0.5000  8 Pm 3.30-3.66, 2 Pr 3.48
3 Pm 0.2313 0.7687 0.0000  1 Pr 3.20, 2 Pm 3.24
4 Pm 0.4099 0.5901 0.0000  6 Pm 3.51-3.66, 2 Pr 3.67, 2 Ho 3.92
5 Pm 0.5901 0.4099 0.0000  6 Pm 3.51-3.66, 2 Pr 3.67, 2 Ho 3.92
6 Pm 0.7687 0.2313 0.0000  1 Pr 3.20, 2 Pm 3.24
7 Pm 0.9287 0.0713 0.5000  8 Pm 3.30-3.66, 2 Pr 3.48
8 Pr 0.1482 0.8518 0.0000  3 Pm 3.20-3.48
9 Pr 0.8518 0.1482 0.0000  3 Pm 3.20-3.48
10 Ho 0.3144 0.6856 0.5000  2 Ho 3.66, 6 Pm 3.69-3.86, 4 Pr 3.72
11 Ho 0.5000 0.5000 0.5000  4 Pm 3.44, 2 Ho 3.66
12 Ho 0.6856 0.3144 0.5000  2 Ho 3.66, 6 Pm 3.69-3.86, 4 Pr 3.72



No. 4
First-principles (PBE) data for a relaxed SrZn2Sb crystal, as listed in Alexandria via LeMat-Bulk.

Computed properties:
Crystal system: trigonal
Symmetry: R3m (160)

Cell: 6.5243 6.5243 6.5243 Å, 40.01 40.01 40.01°
Last column: nearest neighbours and their distance in Å.
Sites, in units of the cell vectors:
1 Sr 0.0000 0.0000 0.0000  6 Zn 3.24-3.53, 3 Sb 3.43
2 Zn 0.2244 0.2244 0.2244  3 Zn 2.62
3 Zn 0.5322 0.5322 0.5322  3 Zn 2.62, 3 Sb 2.89
4 Sb 0.7929 0.7929 0.7929  6 Zn 2.89-3.12



No. 5
First-principles (PBE) data for a relaxed Ba2SrGa2 crystal, as listed in Alexandria via LeMat-Bulk.

Computed properties:
Crystal system: trigonal
Symmetry: P-3m1 (164)
Energy relative to the elements: -0.26 eV per atom

Cell: 5.5804 5.5804 7.2502 Å, 90.00 90.00 120.00°
Last column: nearest neighbours and their distance in Å.
Sites, in units of the cell vectors:
1 Ba 0.3333 0.6667 0.3288  4 Ga 3.40-3.50
2 Ba 0.6667 0.3333 0.6712  4 Ga 3.40-3.50
3 Sr 0.0000 0.0000 0.0000  6 Ga 3.38
4 Ga 0.3333 0.6667 0.8598  3 Sr 3.38, 4 Ba 3.40-3.50
5 Ga 0.6667 0.3333 0.1402  3 Sr 3.38, 4 Ba 3.40-3.50



No. 6
First-principles (PBE) data for a relaxed Te2Cl crystal, as listed in Alexandria via LeMat-Bulk.

Computed properties:
Crystal system: tetragonal
Symmetry: P4/mmm (123)

Cell: 5.4262 5.4262 3.0749 Å, 90.00 90.00 90.00°
Last column: nearest neighbours and their distance in Å.
Sites, in units of the cell vectors:
1 Te 0.0000 0.5000 0.0000  2 Te 3.07, 4 Cl 3.12
2 Te 0.5000 0.0000 0.0000  2 Te 3.07, 4 Cl 3.12
3 Cl 0.0000 0.0000 0.5000  2 Cl 3.07, 8 Te 3.12



No. 7
First-principles (PBE) data for a relaxed TbHoZnGa crystal, as listed in Alexandria via LeMat-Bulk.

Computed properties:
Crystal system: cubic
Symmetry: F-43m (216)
Energy relative to the elements: -0.48 eV per atom

Cell: 5.0498 5.0498 5.0498 Å, 60.00 60.00 60.00°
Last column: nearest neighbours and their distance in Å.
Sites, in units of the cell vectors:
1 Tb 0.0000 0.0000 0.0000  4 Zn 3.09, 4 Ga 3.09
2 Ho 0.5000 0.5000 0.5000  4 Zn 3.09, 4 Ga 3.09
3 Zn 0.7500 0.7500 0.7500  4 Tb 3.09, 4 Ho 3.09
4 Ga 0.2500 0.2500 0.2500  4 Tb 3.09, 4 Ho 3.09



No. 8
First-principles (PBE) data for a relaxed TiSCl6O crystal, as listed in Alexandria via LeMat-Bulk.

Computed properties:
Crystal system: monoclinic
Symmetry: P2_1/c (14)

Cell: 8.0459 10.9520 13.1369 Å, 90.00 105.74 90.00°
Last column: nearest neighbours and their distance in Å.
Sites, in units of the cell vectors:
1 Ti 0.1435 0.1399 0.0492  3 Cl 2.21-2.23, 1 O 2.36
2 Ti 0.1435 0.3601 0.5492  3 Cl 2.21-2.23, 1 O 2.36
3 Ti 0.8565 0.6399 0.4508  3 Cl 2.21-2.23, 1 O 2.36
4 Ti 0.8565 0.8601 0.9508  3 Cl 2.21-2.23, 1 O 2.36
5 S 0.3961 0.5759 0.7503  1 O 1.47
6 S 0.3961 0.9241 0.2503  1 O 1.47
7 S 0.6039 0.0759 0.7497  1 O 1.47
8 S 0.6039 0.4241 0.2497  1 O 1.47
9 Cl 0.0212 0.7243 0.0554  1 Ti 2.21
10 Cl 0.0212 0.7757 0.5554  1 Ti 2.21
11 Cl 0.0994 0.5236 0.4147  2 Ti 2.47-2.48
12 Cl 0.0994 0.9764 0.9147  2 Ti 2.47-2.48
13 Cl 0.1777 0.2342 0.2040  1 Ti 2.23
14 Cl 0.1777 0.2658 0.7040  1 Ti 2.23
15 Cl 0.2437 0.5666 0.8543  1 S 2.07
16 Cl 0.2437 0.9334 0.3543  1 S 2.07
17 Cl 0.3959 0.1829 0.0182  1 Ti 2.23
18 Cl 0.3959 0.3171 0.5182  1 Ti 2.23
19 Cl 0.4115 0.5472 0.1763  1 S 2.08
20 Cl 0.4115 0.9528 0.6763  1 S 2.08
21 Cl 0.5885 0.0472 0.3237  1 S 2.08
22 Cl 0.5885 0.4528 0.8237  1 S 2.08
23 Cl 0.6041 0.6829 0.4818  1 Ti 2.23
24 Cl 0.6041 0.8171 0.9818  1 Ti 2.23
25 Cl 0.7563 0.0666 0.6457  1 S 2.07
26 Cl 0.7563 0.4334 0.1457  1 S 2.07
27 Cl 0.8223 0.7342 0.2960  1 Ti 2.23
28 Cl 0.8223 0.7658 0.7960  1 Ti 2.23
29 Cl 0.9006 0.0236 0.0853  2 Ti 2.47-2.48
30 Cl 0.9006 0.4764 0.5853  2 Ti 2.47-2.48
31 Cl 0.9788 0.2243 0.4446  1 Ti 2.21
32 Cl 0.9788 0.2757 0.9446  1 Ti 2.21
33 O 0.2987 0.5219 0.6497  1 S 1.47
34 O 0.2987 0.9781 0.1497  1 S 1.47
35 O 0.7013 0.0219 0.8503  1 S 1.47
36 O 0.7013 0.4781 0.3503  1 S 1.47



No. 9
First-principles (PBE) data for a relaxed Ac5Cd4Ge crystal, as listed in Alexandria via LeMat-Bulk.

Computed properties:
Crystal system: tetragonal
Symmetry: P4/mmm (123)
Energy relative to the elements: -0.35 eV per atom

Cell: 4.0678 4.0678 19.9187 Å, 90.00 90.00 90.00°
Last column: nearest neighbours and their distance in Å.
Sites, in units of the cell vectors:
1 Ac 0.0000 0.0000 0.0000  8 Cd 3.54
2 Ac 0.0000 0.0000 0.2051  8 Cd 3.51-3.52
3 Ac 0.0000 0.0000 0.4142  4 Ge 3.35, 1 Ac 3.42, 4 Cd 3.60
4 Ac 0.0000 0.0000 0.5858  4 Ge 3.35, 1 Ac 3.42, 4 Cd 3.60
5 Ac 0.0000 0.0000 0.7949  8 Cd 3.51-3.52
6 Cd 0.5000 0.5000 0.1032  8 Ac 3.52-3.54
7 Cd 0.5000 0.5000 0.3058  8 Ac 3.51-3.60, 1 Ge 3.87
8 Cd 0.5000 0.5000 0.6942  8 Ac 3.51-3.60, 1 Ge 3.87
9 Cd 0.5000 0.5000 0.8968  8 Ac 3.52-3.54
10 Ge 0.5000 0.5000 0.5000  8 Ac 3.35



No. 10
First-principles (PBE) data for a relaxed Tb2PaRh3 crystal, as listed in Alexandria via LeMat-Bulk.

Computed properties:
Crystal system: trigonal
Symmetry: P-3m1 (164)
Energy relative to the elements: -0.77 eV per atom

Cell: 4.8387 4.8387 6.1211 Å, 90.00 90.00 120.00°
Last column: nearest neighbours and their distance in Å.
Sites, in units of the cell vectors:
1 Tb 0.3333 0.6667 0.1537  7 Rh 2.88-3.11
2 Tb 0.6667 0.3333 0.8463  7 Rh 2.88-3.11
3 Pa 0.0000 0.0000 0.5000  8 Rh 2.89-3.06
4 Rh 0.0000 0.0000 0.0000  6 Tb 2.95, 2 Pa 3.06
5 Rh 0.3333 0.6667 0.6234  4 Tb 2.88-3.11, 3 Pa 2.89, 3 Rh 3.18
6 Rh 0.6667 0.3333 0.3766  4 Tb 2.88-3.11, 3 Pa 2.89, 3 Rh 3.18



Density / g cm⁻³: 4.65; 4.74; 7.26; 5.46; 4.26; 5.33; 8.37; 1.84; 8.35; 11.47
Calculated total energy / eV per atom: -1.683; -4.522; -4.599; -2.445; -2.575; -2.348; -3.857; -4.243; -3.230; -7.573